(1)
Density functional theory data (PBE-GGA) for InOs after structural relaxation.

Calculated values
space-group type: I-43m
formation energy: 1217 meV per atom

Lattice parameters (Å, degrees): 8.2267 8.2267 8.2267 90.00 90.00 90.00
With the nearest neighbours (Å) after each atom.
Atoms (fractional coordinates):
Os  0.1084  0.8916  0.1084  3 Os 2.52, 4 In 2.68-2.80
Os  0.3916  0.3916  0.3916  3 Os 2.52, 4 In 2.68-2.80
Os  0.8916  0.8916  0.8916  3 Os 2.52, 4 In 2.68-2.80
Os  0.8916  0.1084  0.1084  3 Os 2.52, 4 In 2.68-2.80
Os  0.6084  0.6084  0.3916  3 Os 2.52, 4 In 2.68-2.80
Os  0.6084  0.3916  0.6084  3 Os 2.52, 4 In 2.68-2.80
Os  0.1084  0.1084  0.8916  3 Os 2.52, 4 In 2.68-2.80
Os  0.3916  0.6084  0.6084  3 Os 2.52, 4 In 2.68-2.80
In  0.7963  0.2037  0.7963  4 Os 2.68-2.80
In  0.7037  0.7037  0.7037  4 Os 2.68-2.80
In  0.2037  0.7963  0.7963  4 Os 2.68-2.80
In  0.7963  0.7963  0.2037  4 Os 2.68-2.80
In  0.2963  0.2963  0.7037  4 Os 2.68-2.80
In  0.2037  0.2037  0.2037  4 Os 2.68-2.80
In  0.2963  0.7037  0.2963  4 Os 2.68-2.80
In  0.7037  0.2963  0.2963  4 Os 2.68-2.80

---

(2)
Density functional theory data (PBE-GGA) for InOs2 after structural relaxation.

Calculated values
space-group type: Cmcm
formation energy: 585 meV per atom

Lattice parameters (Å, degrees): 4.8744 4.8744 4.6428 90.00 90.00 118.96
With the nearest neighbours (Å) after each atom.
Atoms (fractional coordinates):
Os  0.1532  0.4950  0.7500  5 In 2.76-2.91, 7 Os 2.77-2.90
Os  0.8468  0.5050  0.2500  5 In 2.76-2.91, 7 Os 2.77-2.90
Os  0.4950  0.1532  0.7500  5 In 2.76-2.91, 7 Os 2.77-2.90
Os  0.5050  0.8468  0.2500  5 In 2.76-2.91, 7 Os 2.77-2.90
In  0.8138  0.8138  0.7500  10 Os 2.76-2.91, 2 In 2.96
In  0.1862  0.1862  0.2500  10 Os 2.76-2.91, 2 In 2.96

---

(3)
Density functional theory data (PBE-GGA) for InOs2 after structural relaxation.

Calculated values
space-group type: C2/m
formation energy: 390 meV per atom

Lattice parameters (Å, degrees): 5.4700 5.4700 6.7451 74.51 74.51 30.31
With the nearest neighbours (Å) after each atom.
Atoms (fractional coordinates):
Os  0.7119  0.7119  0.8571  7 Os 2.66-2.87, 3 In 2.79-2.93
Os  0.2881  0.2881  0.1429  7 Os 2.66-2.87, 3 In 2.79-2.93
Os  0.3455  0.3455  0.5345  7 Os 2.62-2.87, 2 In 2.81
Os  0.6545  0.6545  0.4655  7 Os 2.62-2.87, 2 In 2.81
In  0.0154  0.0154  0.2086  9 Os 2.79-3.04, 3 In 2.86-2.92
In  0.9846  0.9846  0.7914  9 Os 2.79-3.04, 3 In 2.86-2.92

---

(4)
Density functional theory data (PBE-GGA) for In2Os after structural relaxation.

Calculated values
space-group type: Cm
formation energy: 322 meV per atom

Lattice parameters (Å, degrees): 5.2409 5.2409 8.5079 83.77 83.77 33.14
With the nearest neighbours (Å) after each atom.
Atoms (fractional coordinates):
Os  0.2505  0.2505  0.9005  2 Os 2.64, 7 In 2.82-2.94
Os  0.8877  0.8877  0.6833  2 Os 2.64, 6 In 2.70-2.86
In  0.9719  0.9719  0.9935  4 Os 2.82-2.87, 2 In 2.99
In  0.6214  0.6214  0.6621  5 Os 2.70-2.94, 2 In 2.99
In  0.6840  0.6840  0.1960  2 Os 2.94, 6 In 2.99-3.25
In  0.4178  0.4178  0.3978  2 Os 2.84, 3 In 2.99-3.01

---

(5)
Density functional theory data (PBE-GGA) for InOs after structural relaxation.

Calculated values
space-group type: Pmmn
formation energy: 598 meV per atom

Lattice parameters (Å, degrees): 3.0418 4.7518 4.7711 90.00 90.00 90.00
With the nearest neighbours (Å) after each atom.
Atoms (fractional coordinates):
Os  0.5000  0.0000  0.4961  6 In 2.78-2.87, 6 Os 2.92-3.04
Os  0.0000  0.5000  0.3373  6 In 2.78-2.87, 6 Os 2.92-3.04
In  0.5000  0.5000  0.8262  6 Os 2.78-2.87, 6 In 2.95-3.04
In  0.0000  0.0000  0.0072  6 Os 2.78-2.87, 6 In 2.95-3.04

---

(6)
Density functional theory data (PBE-GGA) for InOs after structural relaxation.

Calculated values
space-group type: P4/nmm
formation energy: 301 meV per atom

Lattice parameters (Å, degrees): 2.9195 2.9195 8.6961 90.00 90.00 90.00
With the nearest neighbours (Å) after each atom.
Atoms (fractional coordinates):
In  0.2500  0.2500  0.1654  4 In 2.92, 4 Os 2.95
In  0.7500  0.7500  0.8346  4 In 2.92, 4 Os 2.95
Os  0.2500  0.2500  0.5922  8 Os 2.61-2.92
Os  0.7500  0.7500  0.4078  8 Os 2.61-2.92

---

(7)
Density functional theory data (PBE-GGA) for InOs5 after structural relaxation.

Calculated values
ΔE to the lowest computed polymorph: 0.018 eV/atom
space-group type: P4/mmm
formation energy: 288 meV per atom

Lattice parameters (Å, degrees): 2.7941 2.7941 11.7478 90.00 90.00 90.00
With the nearest neighbours (Å) after each atom.
Atoms (fractional coordinates):
Os  0.0000  0.0000  0.8142  8 Os 2.64-2.79, 4 In 2.94
Os  0.0000  0.0000  0.5000  12 Os 2.76-2.79
Os  0.0000  0.0000  0.1858  8 Os 2.64-2.79, 4 In 2.94
Os  0.5000  0.5000  0.3354  12 Os 2.64-2.79
Os  0.5000  0.5000  0.6646  12 Os 2.64-2.79
In  0.5000  0.5000  0.0000  4 In 2.79, 8 Os 2.94

---

(8)
Density functional theory data (PBE-GGA) for InOs3 after structural relaxation.

Calculated values
ΔE to the lowest computed polymorph: 0.303 eV/atom
space-group type: Immm
formation energy: 667 meV per atom

Lattice parameters (Å, degrees): 5.7358 5.7358 5.7358 151.63 132.62 56.15
With the nearest neighbours (Å) after each atom.
Atoms (fractional coordinates):
Os  0.2797  0.7797  0.5000  8 Os 2.64-2.81
Os  0.5000  0.5000  0.0000  6 Os 2.64-2.81, 4 In 2.70
Os  0.7203  0.2203  0.5000  8 Os 2.64-2.81
In  0.0000  0.0000  0.0000  4 Os 2.70, 2 In 2.81

---

(9)
Density functional theory data (PBE-GGA) for InOs2 after structural relaxation.

Calculated values
space-group type: P-62m
formation energy: 1259 meV per atom

Lattice parameters (Å, degrees): 6.5311 6.5311 4.2117 90.00 90.00 120.00
With the nearest neighbours (Å) after each atom.
Atoms (fractional coordinates):
In  0.6667  0.3333  0.0000  9 Os 2.56-2.85
In  0.0000  0.0000  0.5000  9 Os 2.60-2.87
In  0.3333  0.6667  0.0000  9 Os 2.56-2.85
Os  0.7658  0.7658  0.0000  4 In 2.56-2.60, 2 Os 2.65
Os  0.0000  0.2342  0.0000  4 In 2.56-2.60, 2 Os 2.65
Os  0.5609  0.0000  0.5000  5 In 2.85-2.87, 2 Os 3.00
Os  0.2342  0.0000  0.0000  4 In 2.56-2.60, 2 Os 2.65
Os  0.4391  0.4391  0.5000  5 In 2.85-2.87, 2 Os 3.00
Os  0.0000  0.5609  0.5000  5 In 2.85-2.87, 2 Os 3.00

---

(10)
Density functional theory data (PBE-GGA) for InOs2 after structural relaxation.

Calculated values
space-group type: P-3m1
formation energy: 435 meV per atom

Lattice parameters (Å, degrees): 2.8592 2.8592 6.8978 90.00 90.00 120.00
With the nearest neighbours (Å) after each atom.
Atoms (fractional coordinates):
Os  0.3333  0.6667  0.3524  9 Os 2.62-2.86
Os  0.6667  0.3333  0.6476  9 Os 2.62-2.86
In  0.0000  0.0000  0.0000  6 In 2.86, 6 Os 2.94

---

(11)
Density functional theory data (PBE-GGA) for In2Os after structural relaxation.

Calculated values
space-group type: Pnma
formation energy: 333 meV per atom

Lattice parameters (Å, degrees): 3.3467 7.3949 9.7848 90.00 90.00 90.00
With the nearest neighbours (Å) after each atom.
Atoms (fractional coordinates):
In  0.7500  0.4999  0.3253  4 Os 2.74-2.76
In  0.2500  0.6605  0.0594  4 Os 2.78-2.91
In  0.7500  0.3395  0.9406  4 Os 2.78-2.91
In  0.2500  0.1605  0.4406  4 Os 2.78-2.91
In  0.7500  0.9999  0.1747  4 Os 2.74-2.76
In  0.2500  0.5001  0.6747  4 Os 2.74-2.76
In  0.7500  0.8395  0.5594  4 Os 2.78-2.91
In  0.2500  0.0001  0.8253  4 Os 2.74-2.76
Os  0.7500  0.2071  0.6647  8 In 2.74-2.91
Os  0.2500  0.2929  0.1647  8 In 2.74-2.91
Os  0.7500  0.7071  0.8353  8 In 2.74-2.91
Os  0.2500  0.7929  0.3353  8 In 2.74-2.91

---

(12)
Density functional theory data (PBE-GGA) for InOs2 after structural relaxation.

Calculated values
space-group type: Cm
formation energy: 518 meV per atom

Lattice parameters (Å, degrees): 5.3240 5.3240 6.7373 77.73 77.73 31.47
With the nearest neighbours (Å) after each atom.
Atoms (fractional coordinates):
Os  0.9589  0.9589  0.6108  9 Os 2.72-2.89, 3 In 2.72-2.90
Os  0.6725  0.6725  0.6664  8 Os 2.67-2.89, 4 In 2.76-2.88
Os  0.2767  0.2767  0.9276  6 Os 2.67-2.89, 4 In 2.74-2.95
Os  0.6010  0.6010  0.2889  7 Os 2.74-3.05, 5 In 2.77-2.81
In  0.0034  0.0034  0.9940  8 Os 2.72-2.88, 4 In 2.89-3.04
In  0.3207  0.3207  0.3457  8 Os 2.76-2.95, 4 In 2.89-3.04

---

(13)
Density functional theory data (PBE-GGA) for InOs after structural relaxation.

Calculated values
space-group type: P6_3/mmc
formation energy: 390 meV per atom

Lattice parameters (Å, degrees): 8.0122 8.0122 4.2808 90.00 90.00 120.00
With the nearest neighbours (Å) after each atom.
Atoms (fractional coordinates):
Os  0.8850  0.4425  0.7500  4 Os 2.62-2.67, 6 In 2.78-2.92
Os  0.1150  0.5575  0.2500  4 Os 2.62-2.67, 6 In 2.78-2.92
Os  0.5575  0.4425  0.7500  4 Os 2.62-2.67, 6 In 2.78-2.92
Os  0.4425  0.5575  0.2500  4 Os 2.62-2.67, 6 In 2.78-2.92
Os  0.5575  0.1150  0.7500  4 Os 2.62-2.67, 6 In 2.78-2.92
Os  0.4425  0.8850  0.2500  4 Os 2.62-2.67, 6 In 2.78-2.92
In  0.8285  0.6570  0.2500  6 Os 2.78-2.92
In  0.8285  0.1715  0.2500  6 Os 2.78-2.92
In  0.6570  0.8285  0.7500  6 Os 2.78-2.92
In  0.3430  0.1715  0.2500  6 Os 2.78-2.92
In  0.1715  0.8285  0.7500  6 Os 2.78-2.92
In  0.1715  0.3430  0.7500  6 Os 2.78-2.92

---

The evaluated total moment for the records listed, in turn: 0.00, 0.00, 0.00, 0.00, 0.00, 0.00, 0.00, 0.00, 0.00, 0.00, 0.00, 0.00, 0.00 μB per formula unit.
The evaluated volume for the records listed, in turn: 34.8, 16.1, 16.3, 21.2, 17.2, 18.5, 15.3, 16.4, 17.3, 16.3, 20.2, 16.2, 19.8 Å³ per atom.
The evaluated raw total energy for the records listed, in turn: -92.27, -46.89, -48.06, -31.48, -25.54, -26.73, -57.16, -33.76, -64.27, -23.89, -62.83, -47.29, -79.13 eV for the cell shown.